# NdCr2IrO8

An optimized crystal structure of NdCr2IrO8 (PBE with a Hubbard U, Alexandria via LeMat-Bulk).

- calculated volume (Å³/f.u.) = 145.2
- energy (eV per atom) = -7.2903
- crystal system = monoclinic
- magnetic moment (μB/f.u.) = 3.880
- space group = No. 10

Cell and atoms, written as extended XYZ:
```
12
Lattice="-2.878 -2.673 2.678 3.211 -3.479 0.222 2.498 2.644 5.325" Properties=species:S:1:pos:R:3 pbc="T T T"
O -1.078 -2.299 3.291
O 1.490 -2.796 4.595
O 1.341 -0.712 3.630
O 2.747 -1.722 7.377
O 0.084 -1.785 0.847
O 0.369 -0.768 6.377
O 3.909 -1.208 4.934
O 2.461 -2.739 1.848
Ir 0.000 0.000 0.000
Nd 1.249 1.322 2.662
Cr 2.038 -1.094 5.440
Cr 0.793 -2.413 2.785
```